## Pm2PuMnN5 (PBE)

Data for crystalline Pm2PuMnN5 at its relaxed geometry.

DOS(E_F) (states/eV/atom): 0.66

Structure (POSCAR):
```
Pm2PuMnN5
1.0
3.436 0.000 0.000
-1.718 6.872 0.000
0.000 0.000 10.333
Pm Pu Mn N
4 2 2 10
Direct
0.866 0.731 0.803
0.108 0.216 0.692
0.134 0.269 0.303
0.892 0.784 0.192
0.794 0.588 0.508
0.206 0.412 0.008
0.509 0.018 0.966
0.491 0.982 0.466
0.375 0.749 0.007
0.687 0.374 0.878
0.491 0.982 0.790
0.285 0.570 0.646
0.957 0.915 0.535
0.625 0.251 0.507
0.313 0.626 0.378
0.509 0.018 0.290
0.715 0.430 0.146
0.043 0.085 0.035
```

---

## Pm2PuMnN4 (PBE)

Data for crystalline Pm2PuMnN4 at its relaxed geometry.

DOS(E_F) (states/eV/atom): 0.96

Structure (POSCAR):
```
Pm2PuMnN4
1.0
3.400 0.000 0.000
-1.700 5.830 0.000
0.000 0.000 11.978
Pm Pu Mn N
4 2 2 8
Direct
0.367 0.735 0.544
0.633 0.265 0.044
0.633 0.265 0.456
0.367 0.735 0.956
0.113 0.225 0.750
0.887 0.775 0.250
0.839 0.678 0.750
0.161 0.322 0.250
0.274 0.547 0.139
0.726 0.453 0.639
0.726 0.453 0.861
0.274 0.547 0.361
0.000 0.000 0.500
0.000 0.000 0.000
0.413 0.827 0.750
0.587 0.173 0.250
```

---

## Pm2MnReN5 (PBE)

Data for crystalline Pm2MnReN5 at its relaxed geometry.

DOS(E_F) (states/eV/atom): 0.27

Structure (POSCAR):
```
Pm2MnReN5
1.0
-0.943 3.149 -0.171
-6.375 -3.579 0.917
0.920 0.792 9.487
Pm Mn Re N
4 2 2 10
Direct
0.881 0.763 0.808
0.135 0.270 0.681
0.119 0.237 0.308
0.865 0.730 0.181
0.782 0.564 0.497
0.218 0.436 0.997
0.573 0.146 0.980
0.427 0.854 0.480
0.347 0.694 0.996
0.697 0.394 0.870
0.519 0.038 0.803
0.312 0.623 0.631
0.975 0.951 0.558
0.653 0.306 0.496
0.303 0.606 0.370
0.481 0.962 0.303
0.688 0.377 0.131
0.025 0.049 0.058
```

---

## SrPmMnN4 (PBE)

Data for crystalline SrPmMnN4 at its relaxed geometry.

Structure (POSCAR):
```
SrPmMnN4
1.0
-3.592 4.424 -0.573
-0.811 -1.335 -5.226
-3.982 -5.584 2.045
Sr Pm Mn N
2 2 2 8
Direct
0.718 0.750 0.932
0.282 0.250 0.068
0.772 0.750 0.453
0.228 0.250 0.547
0.224 0.750 0.307
0.776 0.250 0.693
0.966 0.496 0.735
0.034 0.996 0.265
0.034 0.504 0.265
0.966 0.004 0.735
0.418 0.750 0.164
0.582 0.250 0.836
0.389 0.750 0.545
0.611 0.250 0.455
```

---

## SrPmMnN3 (PBE)

Data for crystalline SrPmMnN3 at its relaxed geometry.

DOS(E_F) (states/eV/atom): 0.36

Structure (POSCAR):
```
SrPmMnN3
1.0
3.732 0.000 0.000
-1.866 6.663 0.008
0.000 -2.027 7.112
Sr Pm Mn N
2 2 2 6
Direct
0.353 0.707 0.927
0.647 0.293 0.073
0.653 0.306 0.577
0.347 0.694 0.423
0.001 0.001 0.282
0.999 0.999 0.718
0.850 0.700 0.191
0.844 0.688 0.657
0.502 0.005 0.285
0.156 0.312 0.343
0.498 0.995 0.715
0.150 0.300 0.809
```

---

## Pm2TaMn2N6 (PBE)

Data for crystalline Pm2TaMn2N6 at its relaxed geometry.

DOS(E_F) (states/eV/atom): 0.43

Structure (POSCAR):
```
Pm2TaMn2N6
1.0
5.712 0.000 0.000
2.856 4.947 0.000
2.856 1.649 5.258
Pm Ta Mn N
2 1 2 6
Direct
0.785 0.785 0.646
0.215 0.215 0.354
0.000 0.000 0.000
0.438 0.438 0.686
0.562 0.562 0.314
0.756 0.756 0.250
0.238 0.756 0.250
0.756 0.238 0.250
0.244 0.762 0.750
0.762 0.244 0.750
0.244 0.244 0.750
```

---

## TbPm2MnN4 (PBE)

Data for crystalline TbPm2MnN4 at its relaxed geometry.

DOS(E_F) (states/eV/atom): 0.39

Structure (POSCAR):
```
TbPm2MnN4
1.0
3.419 0.000 0.000
-1.710 5.849 0.000
0.000 0.000 11.903
Tb Pm Mn N
2 4 2 8
Direct
0.122 0.245 0.750
0.878 0.755 0.250
0.367 0.735 0.543
0.633 0.265 0.043
0.633 0.265 0.457
0.367 0.735 0.957
0.844 0.688 0.750
0.156 0.312 0.250
0.271 0.542 0.139
0.729 0.458 0.639
0.729 0.458 0.861
0.271 0.542 0.361
0.000 0.000 0.500
0.000 0.000 0.000
0.415 0.830 0.750
0.585 0.170 0.250
```

---

## Tb2PmMnN4 (PBE)

Data for crystalline Tb2PmMnN4 at its relaxed geometry.

DOS(E_F) (states/eV/atom): 0.38

Structure (POSCAR):
```
Tb2PmMnN4
1.0
3.408 0.000 0.000
-1.704 5.752 0.000
0.000 0.000 11.569
Tb Pm Mn N
4 2 2 8
Direct
0.368 0.736 0.544
0.632 0.264 0.044
0.632 0.264 0.456
0.368 0.736 0.956
0.110 0.220 0.750
0.890 0.780 0.250
0.842 0.684 0.750
0.158 0.316 0.250
0.267 0.534 0.132
0.733 0.466 0.632
0.733 0.466 0.868
0.267 0.534 0.368
0.000 0.000 0.500
0.000 0.000 0.000
0.419 0.838 0.750
0.581 0.162 0.250
```

---

no.,E (eV/atom),uncorrected formation energy (meV/atom)
1,-9.294,-1001.4
2,-9.218,-929.8
3,-8.781,-698.1
4,-7.732,-745.5
5,-7.507,-744.5
6,-8.854,-704.6
7,-8.079,-1003.6
8,-8.219,-1158.7